Run one
Material: Fe4Hg
Method: DFT, PBE-GGA
State: relaxed

Lattice parameters (Å, degrees): 10.7533 10.7533 10.7533 14.80 14.80 14.80
Site moments in Bohr magnetons follow the coordinates.
Sites, in units of the cell vectors:
Hg 0.5000 0.5000 0.5000  -0.02
Fe 0.9095 0.9095 0.9095  2.73
Fe 0.6969 0.6969 0.6969  2.56
Fe 0.0905 0.0905 0.0905  2.73
Fe 0.3031 0.3031 0.3031  2.56

Computed properties:
space-group type = R-3m
total moment = 10.5 μB/cell

=====

Run two
Material: Fe4Hg
Method: DFT, PBE-GGA
State: relaxed

Lattice parameters (Å, degrees): 7.9101 7.9101 7.9101 158.21 158.21 31.00
Site moments in Bohr magnetons follow the coordinates.
Sites, in units of the cell vectors:
Hg 0.5000 0.5000 0.0000  -0.07
Fe 0.2962 0.2962 0.0000  2.51
Fe 0.7038 0.7038 0.0000  2.51
Fe 0.8787 0.8787 0.0000  2.57
Fe 0.1213 0.1213 0.0000  2.57

Computed properties:
space-group type = I4/mmm
total moment = 10.0 μB/cell

=====

Run three
Material: Fe4Hg
Method: DFT, PBE-GGA
State: relaxed

Lattice parameters (Å, degrees): 4.9634 4.9634 4.9634 95.39 95.39 144.29
Site moments in Bohr magnetons follow the coordinates.
Sites, in units of the cell vectors:
Fe 0.8220 0.6089 0.4309  2.59
Fe 0.1780 0.3911 0.5691  2.59
Fe 0.3911 0.8220 0.2131  2.59
Fe 0.6089 0.1780 0.7869  2.59
Hg 0.0000 0.0000 0.0000  -0.06

Computed properties:
space-group type = I4/m
total moment = 10.2 μB/cell

=====

Run four
Material: Fe4Hg
Method: DFT, PBE-GGA
State: relaxed

Lattice parameters (Å, degrees): 10.3674 10.2732 2.6822 84.53 80.54 14.92
Site moments in Bohr magnetons follow the coordinates.
Sites, in units of the cell vectors:
Fe 0.7041 0.7041 0.2959  2.61
Fe 0.8851 0.8851 0.1149  2.75
Fe 0.2959 0.2959 0.7041  2.61
Fe 0.1149 0.1149 0.8851  2.75
Hg 0.5000 0.5000 0.5000  -0.01

Computed properties:
space-group type = Fmmm
total moment = 10.6 μB/cell

=====

In terms of stability, run two leads; the second structure lies 3.5 kJ/mol of atoms higher.

=====

Run one
Material: Fe5Hg4
Method: DFT, PBE-GGA
State: relaxed

Lattice parameters (Å, degrees): 7.9091 7.9091 5.5010 90.00 90.00 60.00
Site moments in Bohr magnetons follow the coordinates.
Sites, in units of the cell vectors:
Fe 0.0000 0.3292 0.2500  2.86
Fe 0.3333 0.3333 0.5000  2.85
Fe 0.0000 0.6708 0.7500  2.86
Fe 0.6667 0.6667 0.0000  2.85
Fe 0.6667 0.6667 0.5000  2.85
Fe 0.6708 0.3292 0.7500  2.86
Fe 0.3292 0.6708 0.2500  2.86
Fe 0.3292 0.0000 0.7500  2.86
Fe 0.6708 0.0000 0.2500  2.86
Fe 0.3333 0.3333 0.0000  2.85
Hg 0.6492 0.0000 0.7500  -0.04
Hg 0.6492 0.3508 0.2500  -0.04
Hg 0.3508 0.6492 0.7500  -0.04
Hg 0.0000 0.3508 0.7500  -0.04
Hg 0.0000 0.0000 0.5000  -0.02
Hg 0.0000 0.0000 0.0000  -0.02
Hg 0.3508 0.0000 0.2500  -0.04
Hg 0.0000 0.6492 0.2500  -0.04

Computed properties:
space-group type = P6_3/mcm
total moment = 28.3 μB/cell

=====

Run two
Material: Fe5Hg4
Method: DFT, PBE-GGA
State: relaxed

Lattice parameters (Å, degrees): 6.3706 6.3706 6.3706 95.90 95.90 142.59
Site moments in Bohr magnetons follow the coordinates.
Sites, in units of the cell vectors:
Fe 0.3571 0.3571 0.7143  2.67
Fe 0.3571 0.6429 0.0000  2.67
Fe 0.6429 0.6429 0.2857  2.67
Fe 0.6429 0.3571 0.0000  2.67
Fe 0.0000 0.0000 0.0000  2.59
Hg 0.0000 0.3153 0.3153  -0.03
Hg 0.3153 0.0000 0.3153  -0.03
Hg 0.6847 0.0000 0.6847  -0.03
Hg 0.0000 0.6847 0.6847  -0.03

Computed properties:
space-group type = I4/mmm
total moment = 13.1 μB/cell

=====

In terms of stability, run two leads; the second structure lies 14.9 kJ/mol of atoms higher.